# 1
# Tl2Zn2Br GGA-PBE relaxed
# Space-group type: P4/mbm
# E_tot, eV/f.u.: -9.2
# Formation energy from raw total energies, eV/atom: -0.05
data_Tl2Zn2Br
_chemical_formula_sum 'Tl4 Zn4 Br2'
_cell_length_a 8.358
_cell_length_b 8.358
_cell_length_c 3.784
_cell_angle_alpha 90.00
_cell_angle_beta 90.00
_cell_angle_gamma 90.00
_space_group_name_H-M_alt 'P 1'
_space_group_IT_number 1
loop_
_space_group_symop_operation_xyz
'x,y,z'
loop_
_atom_site_label
_atom_site_fract_x
_atom_site_fract_y
_atom_site_fract_z
Tl1 0.694 0.806 0.500
Tl2 0.806 0.306 0.500
Br1 0.500 0.500 0.000
Tl3 0.194 0.694 0.500
Zn1 0.610 0.110 0.000
Zn2 0.390 0.890 0.000
Zn3 0.890 0.610 0.000
Tl4 0.306 0.194 0.500
Br2 0.000 0.000 0.000
Zn4 0.110 0.390 0.000

***

# 2
# TlZn2Br8 GGA-PBE relaxed
# Space-group type: C2/m
# E_tot, eV/f.u.: -24.7
# Formation energy from raw total energies, eV/atom: -0.58
data_TlZn2Br8
_chemical_formula_sum 'Tl1 Zn2 Br8'
_cell_length_a 11.613
_cell_length_b 7.995
_cell_length_c 6.601
_cell_angle_alpha 91.85
_cell_angle_beta 90.00
_cell_angle_gamma 136.57
_space_group_name_H-M_alt 'P 1'
_space_group_IT_number 1
loop_
_space_group_symop_operation_xyz
'x,y,z'
loop_
_atom_site_label
_atom_site_fract_x
_atom_site_fract_y
_atom_site_fract_z
Br1 0.427 0.853 0.313
Br2 0.573 0.147 0.687
Br3 0.226 0.452 0.793
Zn1 0.781 0.562 0.572
Zn2 0.219 0.438 0.428
Br4 0.774 0.548 0.207
Tl1 0.000 0.000 0.000
Br5 0.054 0.783 0.738
Br6 0.730 0.783 0.738
Br7 0.270 0.217 0.262
Br8 0.946 0.217 0.262

***

# 3
# TlZnBr2 GGA-PBE relaxed
# Space-group type: Pm
# Distance to the lowest polymorph of the same formula, eV/atom: 0.000
# E_tot, eV/f.u.: -9.0
# Formation energy from raw total energies, eV/atom: -0.51
data_TlZnBr2
_chemical_formula_sum 'Tl1 Zn1 Br2'
_cell_length_a 5.130
_cell_length_b 4.204
_cell_length_c 6.642
_cell_angle_alpha 69.96
_cell_angle_beta 90.00
_cell_angle_gamma 90.00
_space_group_name_H-M_alt 'P 1'
_space_group_IT_number 1
loop_
_space_group_symop_operation_xyz
'x,y,z'
loop_
_atom_site_label
_atom_site_fract_x
_atom_site_fract_y
_atom_site_fract_z
Br1 0.500 0.191 0.277
Zn1 0.500 0.817 0.936
Tl1 0.000 0.612 0.421
Br2 0.000 0.880 0.866

***

# 4
# TlZn3Br GGA-PBE relaxed
# Space-group type: Pm-3m
# Distance to the lowest polymorph of the same formula, eV/atom: 0.316
# E_tot, eV/f.u.: -5.2
# Formation energy from raw total energies, eV/atom: 0.53
data_TlZn3Br
_chemical_formula_sum 'Tl1 Zn3 Br1'
_cell_length_a 5.457
_cell_length_b 5.457
_cell_length_c 5.457
_cell_angle_alpha 90.00
_cell_angle_beta 90.00
_cell_angle_gamma 90.00
_space_group_name_H-M_alt 'P 1'
_space_group_IT_number 1
loop_
_space_group_symop_operation_xyz
'x,y,z'
loop_
_atom_site_label
_atom_site_fract_x
_atom_site_fract_y
_atom_site_fract_z
Zn1 0.000 0.500 0.000
Zn2 0.500 0.000 0.000
Br1 0.000 0.000 0.000
Zn3 0.000 0.000 0.500
Tl1 0.500 0.500 0.500

***

What did the fourth record say?
# TlZn3Br GGA-PBE relaxed
# Space-group type: Pm-3m
# Distance to the lowest polymorph of the same formula, eV/atom: 0.316
# E_tot, eV/f.u.: -5.2
# Formation energy from raw total energies, eV/atom: 0.53
data_TlZn3Br
_chemical_formula_sum 'Tl1 Zn3 Br1'
_cell_length_a 5.457
_cell_length_b 5.457
_cell_length_c 5.457
_cell_angle_alpha 90.00
_cell_angle_beta 90.00
_cell_angle_gamma 90.00
_space_group_name_H-M_alt 'P 1'
_space_group_IT_number 1
loop_
_space_group_symop_operation_xyz
'x,y,z'
loop_
_atom_site_label
_atom_site_fract_x
_atom_site_fract_y
_atom_site_fract_z
Zn1 0.000 0.500 0.000
Zn2 0.500 0.000 0.000
Br1 0.000 0.000 0.000
Zn3 0.000 0.000 0.500
Tl1 0.500 0.500 0.500

***

Look up the formation energy from raw total energies of the first one. -0.05 eV/atom